Cd2HOsSe: optimized geometry, GGA-PBE.

It has space group P4/mmm (No. 123), with a = 5.420 Å, b = 5.420 Å, c = 3.298 Å, α = 90.00°, β = 90.00° and γ = 90.00°. The distinct sites, in fractional coordinates, are Cd at (0.000, 0.500, 0.000), H at (0.000, 0.000, 0.500), Os at (0.000, 0.000, 0.000) and Se at (0.500, 0.500, 0.500).

The total DFT energy (no corrections) comes out at -3.28 eV per atom. Its calculated volume is 96.9 Å³/f.u.